1.
Compound: Ga2Ni2W
Source: Alexandria via LeMat-Bulk
Functional: PBE
Structure: optimized geometry

Cell: 7.047 7.047 2.665 Å, 90.00 90.00 90.00°
Atoms (fractional coordinates):
Ga1 0.169 0.331 0.000
Ga2 0.331 0.831 0.000
Ga3 0.669 0.169 0.000
Ga4 0.831 0.669 0.000
Ni1 0.128 0.628 0.500
Ni2 0.372 0.128 0.500
Ni3 0.628 0.872 0.500
Ni4 0.872 0.372 0.500
W1 0.000 0.000 0.500
W2 0.500 0.500 0.500

final energy: -61.63 eV for the cell shown
excess energy over the best structure of this formula in the dataset: 32 meV per atom
E_form: -0.049 eV per atom
crystal system: tetragonal
size of the total moment: 0.00 μB per formula unit

***

2.
Compound: La3Th
Source: Alexandria via LeMat-Bulk
Functional: PBE
Structure: optimized geometry

Cell: 3.651 6.063 6.429 Å, 90.00 90.00 90.00°
Atoms (fractional coordinates):
La1 0.000 0.000 0.000
La2 0.000 0.500 0.320
La3 0.500 0.500 0.789
Th1 0.500 0.000 0.487

final energy: -21.92 eV for the cell shown
excess energy over the best structure of this formula in the dataset: 25 meV per atom
E_form: 0.069 eV per atom
crystal system: orthorhombic
size of the total moment: 0.00 μB per formula unit

***

3.
Compound: LiCaTc
Source: Alexandria via LeMat-Bulk
Functional: PBE
Structure: optimized geometry

Cell: 5.655 5.655 7.041 Å, 101.89 101.89 38.31°
Atoms (fractional coordinates):
Li1 0.198 0.198 0.124
Li2 0.802 0.802 0.876
Ca1 0.495 0.495 0.261
Ca2 0.505 0.505 0.739
Tc1 0.202 0.202 0.554
Tc2 0.798 0.798 0.446

final energy: -27.01 eV for the cell shown
excess energy over the best structure of this formula in the dataset: 109 meV per atom
E_form: 0.258 eV per atom
crystal system: monoclinic
size of the total moment: 0.00 μB per formula unit

***

4.
Compound: TiMnZnRh
Source: Alexandria via LeMat-Bulk
Functional: PBE
Structure: optimized geometry

Cell: 4.287 4.287 4.287 Å, 60.00 60.00 60.00°
Atoms (fractional coordinates):
Ti1 0.000 0.000 0.000
Mn1 0.750 0.750 0.750
Zn1 0.500 0.500 0.500
Rh1 0.250 0.250 0.250

final energy: -27.16 eV for the cell shown
E_form: -0.368 eV per atom
crystal system: cubic
size of the total moment: 2.03 μB per formula unit

***

5.
Compound: FeBiH3
Source: Alexandria via LeMat-Bulk
Functional: PBE
Structure: optimized geometry

Cell: 3.587 3.587 3.587 Å, 90.00 90.00 90.00°
Atoms (fractional coordinates):
Fe1 0.000 0.000 0.000
Bi1 0.500 0.500 0.500
H1 0.000 0.000 0.500
H2 0.000 0.500 0.000
H3 0.500 0.000 0.000

final energy: -20.44 eV for the cell shown
excess energy over the best structure of this formula in the dataset: 0 meV per atom
crystal system: cubic
size of the total moment: 0.00 μB per formula unit

***

6.
Compound: Er6Sb5Se
Source: Alexandria via LeMat-Bulk
Functional: PBE
Structure: optimized geometry

Cell: 7.456 7.456 7.458 Å, 99.60 99.60 119.95°
Atoms (fractional coordinates):
Er1 0.082 0.410 0.746
Er2 0.245 0.245 0.250
Er3 0.410 0.082 0.746
Er4 0.590 0.918 0.254
Er5 0.755 0.755 0.750
Er6 0.918 0.590 0.254
Sb1 0.169 0.831 0.000
Sb2 0.334 0.666 0.500
Sb3 0.500 0.500 0.000
Sb4 0.666 0.334 0.500
Sb5 0.831 0.169 0.000
Se1 0.000 0.000 0.500

ΔE_f (raw): -1.21 eV per atom
final energy: -66.00 eV for the cell shown
crystal system: monoclinic
size of the total moment: 0.00 μB per formula unit

***

7.
Compound: Ta3TiZn
Source: Alexandria via LeMat-Bulk
Functional: PBE
Structure: optimized geometry

Cell: 4.691 4.691 4.691 Å, 90.00 90.00 90.00°
Atoms (fractional coordinates):
Ta1 0.000 0.000 0.500
Ta2 0.000 0.500 0.000
Ta3 0.500 0.000 0.000
Ti1 0.000 0.000 0.000
Zn1 0.500 0.500 0.500

final energy: -37.42 eV for the cell shown
excess energy over the best structure of this formula in the dataset: 175 meV per atom
E_form: 1.462 eV per atom
crystal system: cubic
size of the total moment: 0.00 μB per formula unit

***

8.
Compound: U4HRh12
Source: Alexandria via LeMat-Bulk
Functional: PBE
Structure: optimized geometry

Cell: 6.982 6.982 6.982 Å, 109.47 109.47 109.47°
Atoms (fractional coordinates):
U1 0.000 0.000 0.500
U2 0.000 0.500 0.000
U3 0.500 0.000 0.000
U4 0.500 0.500 0.500
H1 0.000 0.000 0.000
Rh1 0.000 0.252 0.252
Rh2 0.000 0.748 0.748
Rh3 0.250 0.500 0.750
Rh4 0.250 0.750 0.500
Rh5 0.252 0.000 0.252
Rh6 0.252 0.252 0.000
Rh7 0.500 0.250 0.750
Rh8 0.500 0.750 0.250
Rh9 0.748 0.000 0.748
Rh10 0.748 0.748 0.000
Rh11 0.750 0.250 0.500
Rh12 0.750 0.500 0.250

final energy: -147.33 eV for the cell shown
crystal system: cubic
size of the total moment: 0.00 μB per formula unit